# 1
Computed, not measured: crystalline NaSb2TeP at its relaxed geometry at the GGA-PBE level of DFT.

Output
- DFT total energy (Ry/atom) = -0.2468
- formation energy from raw total energies (eV/atom) = 0.265
- energy above the lowest structure with this stoichiometry (eV/atom) = 0.0000
- theoretical density (g/cm3) = 4.66
- space-group type = P4/mmm

abc: 5.228 5.228 5.545
angles: 90.00 90.00 90.00
Positions (direct):
Na1 0.000 0.000 0.000
Sb1 0.000 0.500 0.500
Sb2 0.500 0.000 0.500
Te1 0.500 0.500 0.000
P1 0.500 0.500 0.500

***

# 2
Computed, not measured: crystalline NaSbTe2P at its relaxed geometry at the GGA-PBE level of DFT.

Output
- DFT total energy (Ry/atom) = -0.2405
- formation energy from raw total energies (eV/atom) = 0.154
- energy above the lowest structure with this stoichiometry (eV/atom) = 0.0000
- theoretical density (g/cm3) = 4.62
- space-group type = P4/mmm

abc: 5.527 5.527 5.064
angles: 90.00 90.00 90.00
Positions (direct):
Na1 0.000 0.000 0.000
Sb1 0.500 0.500 0.000
Te1 0.000 0.500 0.500
Te2 0.500 0.000 0.500
P1 0.500 0.500 0.500

***

# 3
Computed, not measured: crystalline NaSbTe2P at its relaxed geometry at the GGA-PBE level of DFT.

Output
- DFT total energy (Ry/atom) = -0.1704
- formation energy from raw total energies (eV/atom) = 1.109
- energy above the lowest structure with this stoichiometry (eV/atom) = 0.9542
- theoretical density (g/cm3) = 4.62
- space-group type = P4/mmm

abc: 5.388 5.388 5.337
angles: 90.00 90.00 90.00
Positions (direct):
Na1 0.000 0.000 0.000
Sb1 0.000 0.000 0.500
Te1 0.000 0.500 0.000
Te2 0.500 0.000 0.000
P1 0.500 0.500 0.500

***

# 4
Computed, not measured: crystalline NaSb2TeP at its relaxed geometry at the GGA-PBE level of DFT.

Output
- DFT total energy (Ry/atom) = -0.1808
- formation energy from raw total energies (eV/atom) = 1.163
- energy above the lowest structure with this stoichiometry (eV/atom) = 0.8978
- theoretical density (g/cm3) = 4.64
- space-group type = P4/mmm

abc: 5.329 5.329 5.358
angles: 90.00 90.00 90.00
Positions (direct):
Na1 0.000 0.000 0.000
Sb1 0.000 0.500 0.000
Sb2 0.500 0.000 0.000
Te1 0.000 0.000 0.500
P1 0.500 0.500 0.500

***

# 5
Computed, not measured: crystalline Na2ScP2 at its relaxed geometry at the GGA-PBE level of DFT.

Output
- DFT total energy (Ry/atom) = -0.3279
- theoretical density (g/cm3) = 2.34
- energy of formation from the pure elements (meV per atom) = -502.9
- space-group type = P4/mbm

abc: 6.676 6.676 4.857
angles: 90.00 90.00 90.00
Positions (direct):
Na1 0.174 0.326 0.000
Na2 0.326 0.826 0.000
Na3 0.674 0.174 0.000
Na4 0.826 0.674 0.000
Sc1 0.000 0.000 0.500
Sc2 0.500 0.500 0.500
P1 0.120 0.620 0.500
P2 0.380 0.120 0.500
P3 0.620 0.880 0.500
P4 0.880 0.380 0.500

***

# 6
Computed, not measured: crystalline NaScP3 at its relaxed geometry at the GGA-PBE level of DFT.

Output
- DFT total energy (Ry/atom) = -0.2883
- energy above the lowest structure with this stoichiometry (eV/atom) = 0.7772
- theoretical density (g/cm3) = 2.53
- energy of formation from the pure elements (meV per atom) = 853.2
- space-group type = Pm-3m

abc: 4.729 4.729 4.729
angles: 90.00 90.00 90.00
Positions (direct):
Na1 0.000 0.000 0.000
Sc1 0.500 0.500 0.500
P1 0.000 0.000 0.500
P2 0.000 0.500 0.000
P3 0.500 0.000 0.000

***

# 7
Computed, not measured: crystalline NaScP2 at its relaxed geometry at the GGA-PBE level of DFT.

Output
- DFT total energy (Ry/atom) = -0.3648
- energy above the lowest structure with this stoichiometry (eV/atom) = 0.0629
- theoretical density (g/cm3) = 1.96
- energy of formation from the pure elements (meV per atom) = -345.5
- space-group type = I-42d

abc: 9.071 9.071 9.071
angles: 146.99 146.99 47.38
Positions (direct):
Na1 0.000 0.000 0.000
Na2 0.750 0.250 0.500
Sc1 0.250 0.750 0.500
Sc2 0.500 0.500 0.000
P1 0.300 0.625 0.175
P2 0.375 0.550 0.675
P3 0.450 0.125 0.825
P4 0.875 0.700 0.325

***

# 8
Computed, not measured: crystalline NaSc3P at its relaxed geometry at the GGA-PBE level of DFT.

Output
- DFT total energy (Ry/atom) = -0.3004
- energy above the lowest structure with this stoichiometry (eV/atom) = 1.3298
- theoretical density (g/cm3) = 2.52
- energy of formation from the pure elements (meV per atom) = 1057.3
- space-group type = Pm-3m

abc: 4.993 4.993 4.993
angles: 90.00 90.00 90.00
Positions (direct):
Na1 0.000 0.000 0.000
Sc1 0.000 0.000 0.500
Sc2 0.000 0.500 0.000
Sc3 0.500 0.000 0.000
P1 0.500 0.500 0.500

***

# 9
Computed, not measured: crystalline NaSc3P at its relaxed geometry at the GGA-PBE level of DFT.

Output
- DFT total energy (Ry/atom) = -0.3982
- energy above the lowest structure with this stoichiometry (eV/atom) = 0.0000
- theoretical density (g/cm3) = 2.43
- energy of formation from the pure elements (meV per atom) = -272.5
- space-group type = Pm-3m

abc: 5.056 5.056 5.056
angles: 90.00 90.00 90.00
Positions (direct):
Na1 0.000 0.000 0.000
Sc1 0.000 0.500 0.500
Sc2 0.500 0.000 0.500
Sc3 0.500 0.500 0.000
P1 0.500 0.500 0.500

***

# 10
Computed, not measured: crystalline NaScP3 at its relaxed geometry at the GGA-PBE level of DFT.

Output
- DFT total energy (Ry/atom) = -0.3454
- energy above the lowest structure with this stoichiometry (eV/atom) = 0.0000
- theoretical density (g/cm3) = 2.17
- energy of formation from the pure elements (meV per atom) = 76.0
- space-group type = Pm-3m

abc: 4.974 4.974 4.974
angles: 90.00 90.00 90.00
Positions (direct):
Na1 0.000 0.000 0.000
Sc1 0.500 0.500 0.500
P1 0.000 0.500 0.500
P2 0.500 0.000 0.500
P3 0.500 0.500 0.000

***

# 11
Computed, not measured: crystalline Na3ScP at its relaxed geometry at the GGA-PBE level of DFT.

Output
- DFT total energy (Ry/atom) = -0.2029
- energy above the lowest structure with this stoichiometry (eV/atom) = 0.0000
- theoretical density (g/cm3) = 1.52
- energy of formation from the pure elements (meV per atom) = 378.8
- space-group type = Pm-3m

abc: 5.414 5.414 5.414
angles: 90.00 90.00 90.00
Positions (direct):
Na1 0.000 0.000 0.500
Na2 0.000 0.500 0.000
Na3 0.500 0.000 0.000
Sc1 0.500 0.500 0.500
P1 0.000 0.000 0.000

***

# 12
Computed, not measured: crystalline NaSc2P2 at its relaxed geometry at the GGA-PBE level of DFT.

Output
- DFT total energy (Ry/atom) = -0.4252
- energy above the lowest structure with this stoichiometry (eV/atom) = 0.0808
- theoretical density (g/cm3) = 2.31
- energy of formation from the pure elements (meV per atom) = -824.6
- space-group type = I4/mmm

abc: 6.864 6.864 6.864
angles: 141.30 141.30 55.88
Positions (direct):
Na1 0.000 0.000 0.000
Sc1 0.250 0.750 0.500
Sc2 0.750 0.250 0.500
P1 0.351 0.351 0.000
P2 0.649 0.649 0.000